## NpH4Br4 (PBE-GGA)

Data for a geometry-optimized NpH4Br4 structure.

For the spin magnetization, the calculation gives 8.1 Bohr magnetons per cell. The value obtained for the total energy is -65.2 eV for the cell shown.

It has space group I4/m (No. 87), with a = 8.611 Å, b = 8.611 Å, c = 3.855 Å, α = 90.00°, β = 90.00° and γ = 90.00°. The asymmetric unit holds Np at (0.000, 0.000, 0.000), H at (0.155, 0.764, 0.000) and Br at (0.067, 0.260, 0.500).

## Pm4Sm4Ho5 (PBE-GGA)

Data for a geometry-optimized Pm4Sm4Ho5 structure.

For the spin magnetization, the calculation gives 0.0 Bohr magnetons per cell. The calculated formation energy is 0.02 eV/atom.

It has space group I4/m (No. 87), with a = 12.980 Å, b = 12.980 Å, c = 5.066 Å, α = 90.00°, β = 90.00° and γ = 90.00°. The asymmetric unit holds Pm at (0.078, 0.384, 0.000), Sm at (0.153, 0.771, 0.000), Ho at (0.000, 0.000, 0.000) and Ho at (0.038, 0.190, 0.500).

## InTeBr6 (PBE-GGA)

Data for a geometry-optimized InTeBr6 structure.

For the spin magnetization, the calculation gives 0.0 Bohr magnetons per cell. The value obtained for the total energy is -19.5 eV for the cell shown.

It has space group P-1 (No. 2), with a = 6.879 Å, b = 7.057 Å, c = 7.451 Å, α = 63.23°, β = 89.48° and γ = 63.44°. The asymmetric unit holds In at (0.000, 0.000, 0.000), Te at (0.500, 0.000, 0.500), Br at (0.058, 0.568, 0.220), Br at (0.263, 0.817, 0.756) and Br at (0.413, 0.842, 0.256).

## BeHgI3 (PBE-GGA)

Data for a geometry-optimized BeHgI3 structure.

For the spin magnetization, the calculation gives 0.0 Bohr magnetons per cell. The energy above the most stable polymorph in this dataset comes out at 0.00 eV/f.u.

It has space group Pm-3m (No. 221), with a = 5.362 Å, b = 5.362 Å, c = 5.362 Å, α = 90.00°, β = 90.00° and γ = 90.00°. The asymmetric unit holds Be at (0.000, 0.000, 0.000), Hg at (0.500, 0.500, 0.500) and I at (0.000, 0.000, 0.500).

## Sr2ZnPdN (PBE-GGA)

Data for a geometry-optimized Sr2ZnPdN structure.

For the spin magnetization, the calculation gives 0.0 Bohr magnetons per cell. The energy above the most stable polymorph in this dataset comes out at 0.00 eV/f.u.

It has space group P2_1/m (No. 11), with a = 6.974 Å, b = 4.025 Å, c = 8.712 Å, α = 90.00°, β = 108.86° and γ = 90.00°. The asymmetric unit holds Sr at (0.178, 0.250, 0.375), Sr at (0.203, 0.250, 0.967), Zn at (0.470, 0.750, 0.255), Pd at (0.305, 0.750, 0.694) and N at (0.177, 0.750, 0.171).

## CoPC (PBE-GGA)

Data for a geometry-optimized CoPC structure.

For the spin magnetization, the calculation gives 0.0 Bohr magnetons per cell. The energy above the most stable polymorph in this dataset comes out at 0.56 eV/f.u. The calculated formation energy is 0.46 eV/atom.

It has space group I4mm (No. 107), with a = 2.502 Å, b = 2.502 Å, c = 10.113 Å, α = 90.00°, β = 90.00° and γ = 90.00°. The asymmetric unit holds Co at (0.000, 0.000, 0.000), P at (0.000, 0.000, 0.762) and C at (0.000, 0.000, 0.578).

## Pm7Ho3Mg (PBE-GGA)

Data for a geometry-optimized Pm7Ho3Mg structure.

For the spin magnetization, the calculation gives 0.0 Bohr magnetons per cell. The energy above the most stable polymorph in this dataset comes out at 0.50 eV/f.u. The calculated formation energy is 0.23 eV/atom.

It has space group C2/m (No. 12), with a = 11.525 Å, b = 10.292 Å, c = 6.422 Å, α = 90.00°, β = 93.43° and γ = 90.00°. The asymmetric unit holds Pm at (0.000, 0.000, 0.000), Pm at (0.237, 0.168, 0.261), Pm at (0.241, 0.500, 0.214), Ho at (0.000, 0.336, 0.000), Ho at (0.000, 0.500, 0.500) and Mg at (0.000, 0.000, 0.500).

## Be2Fe2Te (PBE-GGA)

Data for a geometry-optimized Be2Fe2Te structure.

For the spin magnetization, the calculation gives 7.8 Bohr magnetons per cell. The energy above the most stable polymorph in this dataset comes out at 0.56 eV/f.u.

It has space group I4/mmm (No. 139), with a = 3.489 Å, b = 3.489 Å, c = 10.666 Å, α = 90.00°, β = 90.00° and γ = 90.00°. The asymmetric unit holds Be at (0.000, 0.000, 0.107), Fe at (0.000, 0.500, 0.250) and Te at (0.000, 0.000, 0.500).

Q: spin magnetization of number 2 (Pm4Sm4Ho5)?
A: 0.0 Bohr magnetons per cell

Q: What is the spin magnetization in the second record?
A: 0.0 Bohr magnetons per cell